## Ta7S12 (PBEsol)

Data for Ta7S12 after structural relaxation.

Unit cell a=5.6794 b=5.6794 c=12.5338 alpha=94.34 beta=94.34 gamma=120.00
Element x y z (fractional)
Ta: 0.0000 0.0000 0.0000
Ta: 0.0842 0.0842 0.2523
Ta: 0.2494 0.5828 0.7489
Ta: 0.4172 0.7506 0.2511
Ta: 0.5828 0.2494 0.7489
Ta: 0.7506 0.4172 0.2511
Ta: 0.9158 0.9158 0.7477
S: 0.0409 0.3765 0.1222
S: 0.1260 0.4603 0.3772
S: 0.2084 0.2084 0.6227
S: 0.2948 0.2948 0.8778
S: 0.3765 0.0409 0.1222
S: 0.4603 0.1260 0.3772
S: 0.5397 0.8740 0.6228
S: 0.6235 0.9591 0.8778
S: 0.7052 0.7052 0.1222
S: 0.7916 0.7916 0.3773
S: 0.8740 0.5397 0.6228
S: 0.9591 0.6235 0.8778

Output
ΔE_f (raw) (meV/atom): -1154